No. 1
A plane-wave DFT calculation with GGA-PBE was carried out for a relaxed structure of Gd2Mg3ZnNi2.

Results
Uncorrected energy, eV per atom: -3.58
Magnetization, μB per cell: 0.0

Unit cell a=5.3059 b=5.3059 c=7.9467 alpha=90.28 beta=90.28 gamma=45.10
Fractional coordinates of all 8 atoms:
Gd (0.0000, 0.0000, 0.0000)
Gd (0.1239, 0.1239, 0.5258)
Mg (0.4126, 0.4126, 0.3212)
Mg (0.7142, 0.7142, 0.2102)
Mg (0.7161, 0.7161, 0.8160)
Zn (0.4127, 0.4127, 0.7090)
Ni (0.2930, 0.2930, 0.0061)
Ni (0.8387, 0.8387, 0.5219)

=====

No. 2
A plane-wave DFT calculation with GGA-PBE was carried out for a relaxed structure of Pd.

Results
Energy of formation from the pure elements, eV per formula unit: 0.0

Unit cell a=2.7136 b=2.7136 c=2.7136 alpha=109.47 beta=109.47 gamma=109.47
Fractional coordinates of all 1 atoms:
Pd (0.0000, 0.0000, 0.0000)

=====

No. 3
A plane-wave DFT calculation with GGA-PBE was carried out for a relaxed structure of Gd2ErMg4Al2.

Results
Uncorrected energy, eV per atom: -3.29
Magnetization, μB per cell: 0.0

Unit cell a=4.5835 b=7.4715 c=7.4715 alpha=119.50 beta=90.00 gamma=90.00
Fractional coordinates of all 9 atoms:
Gd (0.0000, 0.2171, 0.7829)
Gd (0.0000, 0.7829, 0.2171)
Er (0.0000, 0.3460, 0.3460)
Mg (0.0000, 0.7780, 0.7780)
Mg (0.5000, 0.0307, 0.0307)
Mg (0.5000, 0.5316, 0.7813)
Mg (0.5000, 0.7813, 0.5316)
Al (0.5000, 0.1176, 0.4484)
Al (0.5000, 0.4484, 0.1176)

=====

No. 4
A plane-wave DFT calculation with GGA-PBE was carried out for a relaxed structure of NiAg2Te3.

Results
Uncorrected energy, eV per atom: -3.45
Magnetization, μB per cell: 0.0

Unit cell a=7.5050 b=7.5050 c=7.5050 alpha=146.44 beta=59.92 gamma=131.91
Fractional coordinates of all 6 atoms:
Ni (0.0000, 0.0000, 0.0000)
Ag (0.3199, 0.9842, 0.3357)
Ag (0.6485, 0.9842, 0.6643)
Te (0.1905, 0.6905, 0.5000)
Te (0.6105, 0.7622, 0.8483)
Te (0.9139, 0.7622, 0.1517)

=====

No. 5
A plane-wave DFT calculation with GGA-PBE was carried out for a relaxed structure of TlCoHgMo.

Results
Uncorrected energy, eV per atom: -4.35
Magnetization, μB per cell: 2.6

Unit cell a=4.6453 b=4.6453 c=4.6453 alpha=60.00 beta=60.00 gamma=60.00
Fractional coordinates of all 4 atoms:
Tl (0.0000, 0.0000, 0.0000)
Co (0.2500, 0.2500, 0.2500)
Hg (0.5000, 0.5000, 0.5000)
Mo (0.7500, 0.7500, 0.7500)

=====

No. 6
A plane-wave DFT calculation with GGA-PBE was carried out for a relaxed structure of Pr2Ni2GeAs.

Results
Uncorrected energy, eV per atom: -5.86
Magnetization, μB per cell: 0.0

Unit cell a=4.1566 b=4.1566 c=8.2282 alpha=90.00 beta=90.00 gamma=120.00
Fractional coordinates of all 6 atoms:
Pr (0.0000, 0.0000, 0.2501)
Pr (0.0000, 0.0000, 0.7499)
Ni (0.3333, 0.6667, 0.0000)
Ni (0.6667, 0.3333, 0.5000)
Ge (0.3333, 0.6667, 0.5000)
As (0.6667, 0.3333, 0.0000)